Compound: Na2CrCo3F12
Source: Alexandria via LeMat-Bulk
Functional: PBE with a Hubbard U
Structure: optimized geometry

Output
Fermi-level density of states, states/eV/cell: 9.4
Electronic total energy, eV/atom: -4.9673
Space group: R-3m, No. 166

a b c (Å): 7.373 7.373 7.373
angles (deg): 58.23 58.23 58.23
Sites, in units of the cell vectors:
1 Co 0.000 0.500 0.000
2 Co 0.500 0.000 0.000
3 Co 0.000 0.000 0.500
4 F 0.336 0.912 0.336
5 F 0.067 0.067 0.684
6 F 0.088 0.664 0.664
7 F 0.933 0.933 0.316
8 F 0.336 0.336 0.912
9 F 0.067 0.684 0.067
10 F 0.664 0.088 0.664
11 F 0.933 0.316 0.933
12 F 0.684 0.067 0.067
13 F 0.664 0.664 0.088
14 F 0.316 0.933 0.933
15 F 0.912 0.336 0.336
16 Cr 0.000 0.000 0.000
17 Na 0.587 0.587 0.587
18 Na 0.413 0.413 0.413